1.
Computed, not measured: a relaxed structure of TlSiAg2 at the PBE level of DFT.

POSCAR file:
```
TlSiAg2
1.0
0.000 3.442 3.442
3.442 0.000 3.442
3.442 3.442 0.000
Tl Si Ag
1 1 2
Cartesian
0.000 0.000 0.000
5.163 5.163 5.163
1.721 1.721 1.721
3.442 3.442 3.442
```

**Crystal system**: cubic
**Total moment**: 0.00 μB/atom
**Total energy**: -11.76 eV per formula unit
**Formation energy without anion corrections**: 0.4334 eV/atom
**DOS(E_F)**: 0.590 states/eV per atom



2.
Computed, not measured: a relaxed structure of TlSiAg2 at the PBE level of DFT.

POSCAR file:
```
TlSiAg2
1.0
-2.126 2.126 4.399
2.126 -2.126 4.399
2.126 2.126 -4.399
Tl Si Ag
1 1 2
Cartesian
0.000 0.000 0.000
0.000 2.126 2.200
2.126 0.000 2.200
0.000 0.000 4.399
```

**Crystal system**: tetragonal
**Total moment**: 0.00 μB/atom
**Total energy**: -12.07 eV per formula unit
**Formation energy without anion corrections**: 0.3557 eV/atom
**DOS(E_F)**: 0.279 states/eV per atom



3.
Computed, not measured: a relaxed structure of TlSiAg3 at the PBE level of DFT.

POSCAR file:
```
TlSiAg3
1.0
5.224 0.000 0.000
0.000 5.224 0.000
0.000 0.000 5.224
Tl Si Ag
1 1 3
Cartesian
0.000 0.000 0.000
2.612 2.612 2.612
0.000 0.000 2.612
0.000 2.612 0.000
2.612 0.000 0.000
```

**Crystal system**: cubic
**Energy above the lowest structure with this stoichiometry**: 859 meV/atom
**Total moment**: 0.00 μB/atom
**Total energy**: -10.91 eV per formula unit
**Formation energy without anion corrections**: 1.0868 eV/atom
**DOS(E_F)**: 0.421 states/eV per atom